The following is a DFT calculation (PBE-GGA) of a geometry-optimized Ce3DyPb2 structure.

Cell: 9.4951 9.4951 9.4070 Å, 109.56 109.56 25.89°
Closest atoms and distances in Å follow each position.
Sites, in units of the cell vectors:
Ce  0.0665  0.0665  0.1186  3 Ce 2.70-2.84
Ce  0.2948  0.2948  0.5731  2 Ce 2.76
Ce  0.3749  0.3749  0.0099  2 Ce 2.84
Ce  0.6251  0.6251  0.9901  2 Ce 2.84
Ce  0.7052  0.7052  0.4269  2 Ce 2.76
Ce  0.9335  0.9335  0.8814  3 Ce 2.70-2.84
Dy  0.1040  0.1040  0.6267  6 Pb 3.24-3.36
Dy  0.8960  0.8960  0.3733  6 Pb 3.24-3.36
Pb  0.2594  0.2594  0.2089  7 Ce 3.26-3.38, 2 Dy 3.26
Pb  0.4788  0.4788  0.6595  4 Ce 3.22-3.35, 4 Dy 3.24-3.36, 1 Pb 3.35
Pb  0.5212  0.5212  0.3405  4 Ce 3.22-3.35, 4 Dy 3.24-3.36, 1 Pb 3.35
Pb  0.7406  0.7406  0.7911  7 Ce 3.26-3.38, 2 Dy 3.26

Properties
Electronic total energy (eV per atom): -5.252
Formation enthalpy at 0 K (eV/atom): -0.282